The following is a PBE calculation of an optimized crystal structure of CrSnPCl2, from Alexandria.

Results
E, eV/atom: -4.1905
Crystal system: tetragonal
SG: P4/mmm
E_form (uncorrected), meV/atom: 355

Geometry as POSCAR:
```
CrSnPCl2
1.0
-4.308 -0.837 2.741
-0.295 -4.794 -1.926
2.886 -1.781 3.992
Cr P Sn Cl
1 1 1 2
Cartesian
-0.859 -3.706 2.404
1.443 -0.891 1.996
0.000 0.000 0.000
-2.154 -0.418 1.371
-0.147 -2.397 -0.963
```

=====

The following is a PBE calculation of an optimized crystal structure of TaCrP2Cl, from Alexandria.

Results
E, eV/atom: -6.4947
Crystal system: tetragonal
SG: P4/mmm
E_form (uncorrected), meV/atom: 334

Geometry as POSCAR:
```
TaCrP2Cl
1.0
4.852 0.000 0.000
0.000 4.852 0.000
0.000 0.000 4.790
P Cr Ta Cl
2 1 1 1
Cartesian
0.000 2.426 0.000
2.426 0.000 0.000
2.426 2.426 2.395
0.000 0.000 0.000
0.000 0.000 2.395
```

=====

The following is a PBE calculation of an optimized crystal structure of TaCrP2Cl, from Alexandria.

Results
E, eV/atom: -6.0932
Crystal system: tetragonal
SG: P4/mmm
E_form (uncorrected), meV/atom: 735

Geometry as POSCAR:
```
TaCrP2Cl
1.0
-2.176 1.302 3.764
1.680 -3.589 2.212
3.550 2.412 1.217
P Cl Ta Cr
2 1 1 1
Cartesian
0.840 -1.795 1.106
-1.088 0.651 1.882
1.775 1.206 0.609
1.527 0.062 3.597
0.000 0.000 0.000
```

=====

The following is a PBE calculation of an optimized crystal structure of CrTePCl2, from Alexandria.

Results
E, eV/atom: -4.1951
Crystal system: tetragonal
SG: P4/mmm
E_form (uncorrected), meV/atom: 179

Geometry as POSCAR:
```
CrTePCl2
1.0
4.412 0.000 0.000
0.000 4.412 0.000
0.000 0.000 5.224
Te Cr Cl P
1 1 2 1
Cartesian
2.206 2.206 2.612
0.000 0.000 0.000
2.206 0.000 0.000
0.000 2.206 0.000
0.000 0.000 2.612
```

=====

Number 1: distance to the lowest polymorph of the same formula 0.5619 eV/atom. Number 2: distance to the lowest polymorph of the same formula 0.0000 eV/atom. Number 3: distance to the lowest polymorph of the same formula 0.4014 eV/atom. Number 4: distance to the lowest polymorph of the same formula 0.0000 eV/atom.